Entry 1:
Here is crystalline Cs2CoPSe at its relaxed geometry from Alexandria via LeMat-Bulk. Energies are from GGA-PBE.

The structure in POSCAR format:
```
Cs2CoPSe
1.0
-1.106 -6.919 0.671
4.646 -0.739 0.034
0.056 0.670 7.007
Cs P Co Se
2 1 1 1
Direct
0.000 0.000 0.500
0.500 0.000 0.000
0.000 0.500 0.000
0.500 0.500 0.500
0.000 0.000 0.000
```

Computed properties:
Spin magnetization (μB/f.u.): 2.19
ρ (g cm⁻³): 3.1
Symmetry: P4/mmm
VASP energy (eV per cell): -15.3



Entry 2:
Here is crystalline NaTlSb2Te at its relaxed geometry from Alexandria via LeMat-Bulk. Energies are from GGA-PBE.

The structure in POSCAR format:
```
NaTlSb2Te
1.0
-0.273 -4.573 3.476
3.949 -2.676 -3.211
4.375 2.344 3.427
Sb Tl Te Na
2 1 1 1
Direct
0.000 0.500 0.000
0.500 0.000 0.000
0.000 0.000 0.000
0.000 0.000 0.500
0.500 0.500 0.500
```

Computed properties:
Spin magnetization (μB/f.u.): 1.09
ρ (g cm⁻³): 5.0
Symmetry: P4/mmm
VASP energy (eV per cell): -12.7



Entry 3:
Here is crystalline KMg at its relaxed geometry from Alexandria via LeMat-Bulk. Energies are from GGA-PBE.

The structure in POSCAR format:
```
KMg
1.0
-1.128 3.078 -2.798
1.228 -2.524 -3.271
-9.553 -3.974 -0.521
K Mg
2 2
Direct
0.250 0.250 0.313
0.750 0.750 0.687
0.250 0.750 0.000
0.750 0.250 0.000
```

Computed properties:
Formation energy (eV per atom): 0.204
Spin magnetization (μB/f.u.): 0.00
ρ (g cm⁻³): 1.1
Symmetry: P4/nmm
VASP energy (eV per cell): -4.6



Entry 4:
Here is crystalline MgCrBr2 at its relaxed geometry from Alexandria via LeMat-Bulk. Energies are from GGA-PBE.

The structure in POSCAR format:
```
MgCrBr2
1.0
-8.778 -4.227 0.153
-7.102 -5.978 2.961
-8.685 -2.670 3.519
Br Cr Mg
2 1 1
Direct
0.972 0.972 0.972
0.528 0.528 0.528
0.250 0.250 0.250
0.750 0.750 0.750
```

Computed properties:
Spin magnetization (μB/f.u.): 4.16
ρ (g cm⁻³): 3.5
Symmetry: R-3m
VASP energy (eV per cell): -15.6



Among the records above, which one has the lowest VASP energy? MgCrBr2



The lowest VASP energy belongs to which entry? MgCrBr2



What is the VASP energy in the third record? -4.6 eV per cell